No. 1
Below is Rb2Tc2O7 after structural relaxation, with properties calculated at the PBE-GGA level.

Summary:
SG: No. 12

a = 5.7305 Å, b = 6.8797 Å, c = 6.8797 Å
α = 106.33°, β = 95.75°, γ = 95.75°
Last column: magnetic moment on the atom in μB.
Atoms (fractional coordinates):
Rb 0.0000 0.3048 0.6952  0.00
Rb 0.0000 0.6952 0.3048  0.00
Tc 0.4248 0.2107 0.2107  0.60
Tc 0.5752 0.7893 0.7893  0.60
O 0.7423 0.6367 0.9008  0.10
O 0.7423 0.9008 0.6367  0.10
O 0.2577 0.0992 0.3633  0.10
O 0.5000 0.0000 0.0000  -0.06
O 0.3065 0.6494 0.6494  0.10
O 0.2577 0.3633 0.0992  0.10
O 0.6935 0.3506 0.3506  0.10


No. 2
Below is Y2ZnRu after structural relaxation, with properties calculated at the PBE-GGA level.

Summary:
SG: No. 122
ΔH_f (0 K) in meV per atom: 84

a = 7.7572 Å, b = 7.7572 Å, c = 6.2793 Å
α = 51.85°, β = 51.85°, γ = 90.00°
Atoms (fractional coordinates):
Y 0.8750 0.9065 0.7500
Y 0.0935 0.6250 0.2500
Y 0.3750 0.3435 0.7500
Y 0.6565 0.1250 0.2500
Ru 0.0000 0.0000 0.0000
Ru 0.7500 0.2500 0.5000
Zn 0.2500 0.7500 0.5000
Zn 0.5000 0.5000 0.0000


No. 3
Below is BNF2 after structural relaxation, with properties calculated at the PBE-GGA level.

Summary:
SG: No. 166
Relative energy among the computed polymorphs in kJ/mol of atoms: 86.85

a = 6.8921 Å, b = 6.8921 Å, c = 6.8921 Å
α = 19.74°, β = 19.74°, γ = 19.74°
Atoms (fractional coordinates):
B 0.5000 0.5000 0.5000
F 0.9103 0.9103 0.9103
F 0.0897 0.0897 0.0897
N 0.0000 0.0000 0.0000


| no. | M_tot (μB/f.u.) | energy (eV/atom) |
| --- | --- | --- |
| 1 | 2.0 | -6.780 |
| 2 | 0.0 | -5.785 |
| 3 | 0.0 | -3.394 |